# BeCdN2F

An optimized crystal structure of BeCdN2F (PBE-GGA, Alexandria via LeMat-Bulk).

The space group is P4/mmm (No. 123) and the conventional cell measures 4.252, 4.252 and 4.342 Å, with angles of 90.00, 90.00 and 90.00 degrees. Symmetry generates all atoms from Be at (0.000, 0.000, 0.000), Cd at (0.500, 0.500, 0.500), N at (0.000, 0.500, 0.500) and F at (0.500, 0.500, 0.000).

The calculation puts the polymorph energy (0 for the lowest one) at 1.3395 eV per atom. The final energy comes out at -3.12 eV per atom. The calculation puts the density at 3.56 g/cm3. The value obtained for the energy relative to the elements, uncorrected is 1516 meV per atom.